A plane-wave DFT calculation with PBE with a Hubbard U was carried out for a relaxed MnP2BrO crystal.

abc: 4.6975 4.6975 3.5043
angles: 90.00 90.00 90.00
Last column: nearest neighbours and their distance in Å.
Positions (direct):
Mn (0.0000, 0.0000, 0.0000)  2 O 1.75
P (0.0000, 0.5000, 0.0000)  2 Mn 2.35
P (0.5000, 0.0000, 0.0000)  2 Mn 2.35
Br (0.5000, 0.5000, 0.5000)  8 P 2.93
O (0.0000, 0.0000, 0.5000)  2 Mn 1.75

Computed properties:
Fermi-level density of states = 3.474 states/eV per cell
E_tot = -21.73 eV/f.u.